This record from Alexandria via LeMat-Bulk describes a PBEsol-optimized structure of HfAlTcAu2. The functional is meta-GGA SCAN.

Results
DOS at the Fermi energy (states/eV/f.u.): 4.78
Space group: No. 123
Energy (eV/f.u.): -241.7
Crystal system: tetragonal

Lattice parameters (Å, degrees): 4.528 4.546 4.546 90.00 90.00 90.00
Positions (direct):
Hf 0.500 0.500 0.500
Au 0.000 0.000 0.500
Au 0.000 0.500 0.000
Tc 0.500 0.000 0.000
Al 0.000 0.000 0.000